<w>
{"formula": "CaEuDy", "functional": "GGA-PBE", "state": "optimized geometry", "magnetic_moment_mub_per_fu": 7.72, "dos_ef_per_ev_atom": 1.432, "lattice": [[3.734, 0.000, 0.000], [-1.867, 3.234, 0.000], [0.000, 0.000, 9.286]], "species": ["Ca", "Eu", "Dy"], "frac_coords": [[0.000, 0.000, 0.000], [0.667, 0.333, 0.353], [0.333, 0.667, 0.673]]}

***

<x>
{"formula": "CaEuDy", "functional": "GGA-PBE", "state": "optimized geometry", "magnetic_moment_mub_per_fu": 8.12, "dos_ef_per_ev_atom": 1.350, "lattice": [[-1.869, 1.869, 8.104], [1.869, -1.869, 8.104], [1.869, 1.869, -8.104]], "species": ["Ca", "Eu", "Dy"], "frac_coords": [[0.000, 0.000, 0.000], [0.319, 0.319, 0.000], [0.663, 0.663, 0.000]]}

***

It is <w> that is the most stable of them.